Record 1
YScTlAs2 | PBE | optimized geometry

The structure in POSCAR format:
```
YScTlAs2
1.0
-4.5031 -1.5864 2.5479
-0.6549 -4.1210 -3.7232
2.9338 -3.2964 3.1326
As Tl Y Sc
2 1 1 1
Direct
0.0000 0.0000 0.5000
0.5000 0.0000 0.0000
0.5000 0.5000 0.5000
0.0000 0.0000 0.0000
0.0000 0.5000 0.0000
```

- uncorrected energy (eV/cell) = -22.55
- formation energy from the elements (kcal/mol of atoms) = 8.8

---

Record 2
TmSc5As6 | PBE | optimized geometry

The structure in POSCAR format:
```
TmSc5As6
1.0
-6.0478 -0.0796 3.0552
0.8532 -0.7045 6.6882
0.6461 5.4839 3.9309
As Sc Tm
6 5 1
Direct
0.2544 0.5754 0.3397
0.2544 0.9151 0.6603
0.7470 0.7445 0.0000
0.7456 0.4246 0.6603
0.7456 0.0849 0.3397
0.2530 0.2555 0.0000
0.5000 0.1649 0.6703
0.0000 0.3328 0.3344
0.5000 0.8351 0.3297
0.0000 0.6672 0.6656
0.5000 0.5000 0.0000
0.0000 0.0000 0.0000
```

- uncorrected energy (eV/cell) = -80.73
- formation energy from the elements (kcal/mol of atoms) = -32.1

---

Record 3
TmSc2As | PBE | optimized geometry

The structure in POSCAR format:
```
TmSc2As
1.0
3.8647 -0.1598 0.0000
-1.7026 5.6558 0.0000
0.0000 0.0000 8.5212
Sc As Tm
4 2 2
Direct
0.1425 0.2851 0.0524
0.8575 0.7149 0.9476
0.8575 0.7149 0.5524
0.1425 0.2851 0.4476
0.2618 0.5234 0.7500
0.7382 0.4766 0.2500
0.4394 0.8789 0.2500
0.5606 0.1211 0.7500
```

- polymorph energy (0 for the lowest one) (eV/f.u.) = 0.00
- uncorrected energy (eV/cell) = -49.50
- formation energy from the elements (kcal/mol of atoms) = -17.1

---

Record 4
TmSc2As3 | PBE | optimized geometry

The structure in POSCAR format:
```
TmSc2As3
1.0
3.7929 0.0000 -1.0746
-0.5851 5.1606 -2.0651
-0.1165 -0.3109 6.8196
As Sc Tm
3 2 1
Direct
0.6729 0.6729 0.3458
0.0000 0.0000 0.0000
0.3271 0.3271 0.6542
0.3345 0.8345 0.6691
0.6655 0.1655 0.3309
0.0000 0.5000 0.0000
```

- uncorrected energy (eV/cell) = -39.53
- formation energy from the elements (kcal/mol of atoms) = -32.5

---

Record 5
Tm3ScAs4 | PBE | optimized geometry

The structure in POSCAR format:
```
Tm3ScAs4
1.0
-2.6413 2.9534 -0.6948
-4.8849 -3.5554 3.4572
3.4424 4.1207 4.4299
As Tm Sc
4 3 1
Direct
0.5000 0.2463 0.7537
0.0000 0.2427 0.2427
0.0000 0.7573 0.7573
0.5000 0.7537 0.2463
0.0000 0.5000 0.0000
0.5000 0.5000 0.5000
0.0000 0.0000 0.5000
0.5000 0.0000 0.0000
```

- uncorrected energy (eV/cell) = -50.06
- formation energy from the elements (kcal/mol of atoms) = -33.8

---

Record 6
TmSc3As3 | PBE | optimized geometry

The structure in POSCAR format:
```
TmSc3As3
1.0
8.2904 0.0000 0.0000
0.0000 8.2904 0.0000
0.0000 0.0000 8.2904
Sc As Tm
12 12 4
Direct
0.9292 0.9292 0.9292
0.5708 0.0708 0.4292
0.8208 0.6792 0.3208
0.0708 0.4292 0.5708
0.1829 0.8171 0.3171
0.6829 0.6829 0.6829
0.3171 0.1829 0.8171
0.4292 0.5708 0.0708
0.8171 0.3171 0.1829
0.6792 0.3208 0.8208
0.3208 0.8208 0.6792
0.1792 0.1792 0.1792
0.7557 0.3772 0.5021
0.2443 0.8772 0.9979
0.3772 0.5021 0.7557
0.9979 0.2443 0.8772
0.8772 0.9979 0.2443
0.6228 0.0021 0.7443
0.0021 0.7443 0.6228
0.1228 0.4979 0.2557
0.4979 0.2557 0.1228
0.5021 0.7557 0.3772
0.7443 0.6228 0.0021
0.2557 0.1228 0.4979
0.4321 0.4321 0.4321
0.5679 0.9321 0.0679
0.9321 0.0679 0.5679
0.0679 0.5679 0.9321
```

- polymorph energy (0 for the lowest one) (eV/f.u.) = 0.00
- uncorrected energy (eV/cell) = -183.28
- formation energy from the elements (kcal/mol of atoms) = -27.7

---

Record 7
TmSc3As3 | PBE | optimized geometry

The structure in POSCAR format:
```
TmSc3As3
1.0
-4.6570 4.4735 -4.9129
-0.8414 -2.0808 -7.7973
-6.1797 -2.3036 -2.9401
Sc As Tm
6 6 2
Direct
0.0909 0.3522 0.7378
0.1809 0.9091 0.2622
0.6478 0.1809 0.2622
0.8191 0.0909 0.7378
0.9091 0.6478 0.2622
0.3522 0.8191 0.7378
0.9230 0.2917 0.2442
0.0770 0.7083 0.7558
0.7083 0.4588 0.7558
0.5412 0.9230 0.2442
0.2917 0.5412 0.2442
0.4588 0.0770 0.7558
0.6666 0.6666 0.0003
0.3334 0.3334 0.9997
```

- polymorph energy (0 for the lowest one) (eV/f.u.) = 0.55
- uncorrected energy (eV/cell) = -90.54
- formation energy from the elements (kcal/mol of atoms) = -25.9

---

Record 8
TmSc2As | PBE | optimized geometry

The structure in POSCAR format:
```
TmSc2As
1.0
-2.0314 1.3617 -2.7173
-0.6328 -2.0049 -2.9907
-8.1755 -3.5487 1.8744
As Sc Tm
1 2 1
Direct
0.0000 0.0000 0.0000
0.2728 0.2728 0.1816
0.7272 0.7272 0.8184
0.5000 0.5000 0.5000
```

- polymorph energy (0 for the lowest one) (eV/f.u.) = 0.87
- uncorrected energy (eV/cell) = -23.87
- formation energy from the elements (kcal/mol of atoms) = -12.0

---

Record 9
Tm3ScAs4 | PBE | optimized geometry

The structure in POSCAR format:
```
Tm3ScAs4
1.0
-1.4821 -2.7121 -6.2374
4.6712 -4.0208 3.2311
-5.9646 -4.2912 3.2832
As Sc Tm
8 2 6
Direct
0.9998 0.7577 0.8793
0.0002 0.2423 0.1207
0.5002 0.2423 0.8793
0.9960 0.2466 0.6288
0.4998 0.7577 0.1207
0.4960 0.2466 0.3712
0.0040 0.7534 0.3712
0.5040 0.7534 0.6288
0.2500 0.0000 0.1241
0.7500 0.0000 0.8759
0.7500 0.5000 0.1244
0.2500 0.5000 0.3737
0.2500 0.0000 0.6261
0.2500 0.5000 0.8756
0.7500 0.5000 0.6263
0.7500 0.0000 0.3739
```

- uncorrected energy (eV/cell) = -100.13
- formation energy from the elements (kcal/mol of atoms) = -33.8

---

Record 10
TmSc3As2 | PBE | optimized geometry

The structure in POSCAR format:
```
TmSc3As2
1.0
3.8640 0.0000 0.0000
-1.9320 7.6409 -0.1871
0.0000 -3.5393 9.2996
Sc As Tm
6 4 2
Direct
0.0589 0.1178 0.3965
0.7153 0.4307 0.3671
0.9411 0.8822 0.6035
0.3771 0.7542 0.3060
0.6229 0.2458 0.6940
0.2847 0.5693 0.6329
0.7664 0.5328 0.1449
0.5185 0.0369 0.1793
0.2336 0.4672 0.8551
0.4815 0.9631 0.8207
0.8807 0.7614 0.9680
0.1193 0.2386 0.0320
```

- uncorrected energy (eV/cell) = -75.59
- formation energy from the elements (kcal/mol of atoms) = -19.3

---

Record 11
TmSc5As4 | PBE | optimized geometry

The structure in POSCAR format:
```
TmSc5As4
1.0
6.3997 0.0000 0.0000
0.0000 8.4911 0.0000
0.0000 0.0000 9.2547
Tm As Sc
2 8 10
Direct
0.1865 0.5000 0.5000
0.8135 0.0000 0.0000
0.0043 0.5000 0.7631
0.4609 0.7497 0.5000
0.9957 0.0000 0.7369
0.5391 0.2497 0.0000
0.0043 0.5000 0.2369
0.4609 0.2503 0.5000
0.5391 0.7503 0.0000
0.9957 0.0000 0.2631
0.2546 0.2446 0.7903
0.7454 0.7446 0.7097
0.7454 0.7446 0.2903
0.2546 0.7554 0.7903
0.7454 0.2554 0.2903
0.7454 0.2554 0.7097
0.7867 0.5000 0.0000
0.2133 0.0000 0.5000
0.2546 0.2446 0.2097
0.2546 0.7554 0.2097
```

- uncorrected energy (eV/cell) = -127.11
- formation energy from the elements (kcal/mol of atoms) = -20.4

---

Record 12
Tm2ScUAs4 | PBE | optimized geometry

The structure in POSCAR format:
```
Tm2ScUAs4
1.0
-2.2890 1.5595 2.9063
-5.2427 0.7193 -4.5152
-0.4274 -6.2681 3.0269
As Tm U Sc
4 2 1 1
Direct
0.5000 0.2438 0.2416
0.0000 0.7548 0.2472
0.0000 0.2452 0.7528
0.5000 0.7562 0.7584
0.0000 0.5000 0.5000
0.5000 0.0000 0.5000
0.5000 0.5000 0.0000
0.0000 0.0000 0.0000
```

- uncorrected energy (eV/cell) = -55.27
- formation energy from the elements (kcal/mol of atoms) = -29.1